# BaCaV4O8

A relaxed structure of BaCaV4O8 (PBE with a Hubbard U, Alexandria).

It has space group P-31m (No. 162), with a = 5.5800 Å, b = 5.5800 Å, c = 7.8482 Å, α = 90.00°, β = 90.00° and γ = 120.00°. The asymmetric unit holds Ba at (0.0000, 0.0000, 0.0000), Ca at (0.0000, 0.0000, 0.5000), V at (0.3333, 0.6667, 0.2417), O at (0.0000, 0.3301, 0.3066) and O at (0.3333, 0.6667, 0.0000).

The magnetic moment is 8.00 μB per formula unit. As for the total energy: -0.546 Ry per atom.